DFT (meta-GGA SCAN) results for RbZr2Rh at its PBEsol-relaxed geometry.

a b c (Å): 4.866 4.866 4.866
angles (deg): 60.00 60.00 60.00
Fractional positions:
1 Zr 0.750 0.750 0.750
2 Zr 0.250 0.250 0.250
3 Rh 0.500 0.500 0.500
4 Rb 0.000 0.000 0.000

## Properties
* DFT formation energy: 620.2 meV per atom

***

DFT (meta-GGA SCAN) results for YBePCl2 at its PBEsol-relaxed geometry.

a b c (Å): 4.222 4.222 5.113
angles (deg): 90.00 90.00 90.00
Fractional positions:
1 Cl 0.000 0.500 0.000
2 Cl 0.500 0.000 0.000
3 Y 0.500 0.500 0.500
4 Be 0.000 0.000 0.000
5 P 0.000 0.000 0.500

***

DFT (meta-GGA SCAN) results for AsP2RhO at its PBEsol-relaxed geometry.

a b c (Å): 3.638 4.694 4.694
angles (deg): 90.00 90.00 90.00
Fractional positions:
1 P 0.000 0.500 0.000
2 P 0.000 0.000 0.500
3 As 0.500 0.500 0.500
4 Rh 0.000 0.000 0.000
5 O 0.500 0.000 0.000

***

DFT (meta-GGA SCAN) results for Tc3HBr at its PBEsol-relaxed geometry.

a b c (Å): 3.958 3.958 3.958
angles (deg): 90.00 90.00 90.00
Fractional positions:
1 H 0.000 0.000 0.000
2 Tc 0.000 0.500 0.000
3 Tc 0.500 0.000 0.000
4 Tc 0.000 0.000 0.500
5 Br 0.500 0.500 0.500

## Properties
* ΔE to the lowest computed polymorph: 0.0 kJ/mol of formula units

***

DFT (meta-GGA SCAN) results for Hf27Si6P10 at its PBEsol-relaxed geometry.

a b c (Å): 3.547 14.850 14.850
angles (deg): 77.36 83.14 83.14
Fractional positions:
1 Hf 0.392 0.478 0.738
2 Hf 0.817 0.313 0.052
3 Hf 0.854 0.646 0.646
4 Hf 0.283 0.217 0.217
5 Hf 0.608 0.262 0.522
6 Hf 0.608 0.522 0.262
7 Hf 0.183 0.687 0.948
8 Hf 0.000 0.000 0.000
9 Hf 0.578 0.824 0.020
10 Hf 0.930 0.823 0.318
11 Hf 0.000 0.583 0.417
12 Hf 0.930 0.318 0.823
13 Hf 0.183 0.948 0.687
14 Hf 0.392 0.738 0.478
15 Hf 0.217 0.467 0.100
16 Hf 0.817 0.052 0.313
17 Hf 0.000 0.417 0.583
18 Hf 0.717 0.783 0.783
19 Hf 0.422 0.176 0.980
20 Hf 0.217 0.100 0.467
21 Hf 0.422 0.980 0.176
22 Hf 0.146 0.354 0.354
23 Hf 0.783 0.900 0.533
24 Hf 0.783 0.533 0.900
25 Hf 0.070 0.682 0.177
26 Hf 0.070 0.177 0.682
27 Hf 0.578 0.020 0.824
28 Si 0.658 0.073 0.611
29 Si 0.342 0.927 0.389
30 Si 0.342 0.389 0.927
31 Si 0.124 0.876 0.876
32 Si 0.658 0.611 0.073
33 Si 0.876 0.124 0.124
34 P 0.714 0.361 0.212
35 P 0.500 0.311 0.689
36 P 0.441 0.559 0.559
37 P 0.559 0.441 0.441
38 P 0.000 0.860 0.140
39 P 0.286 0.788 0.639
40 P 0.000 0.140 0.860
41 P 0.500 0.689 0.311
42 P 0.286 0.639 0.788
43 P 0.714 0.212 0.361

***

DFT (meta-GGA SCAN) results for TaFeSe2 at its PBEsol-relaxed geometry.

a b c (Å): 3.132 4.163 5.201
angles (deg): 112.15 90.00 90.00
Site moments in Bohr magnetons follow the coordinates.
Fractional positions:
1 Se 0.000 0.000 0.000  -0.05
2 Se 0.500 0.500 0.500  -0.07
3 Ta 0.500 0.500 0.000  -0.26
4 Fe 0.000 0.000 0.500  2.63

## Properties
* ΔE to the lowest computed polymorph: 159.0 kJ/mol of formula units

***

DFT (meta-GGA SCAN) results for La2YPt at its PBEsol-relaxed geometry.

a b c (Å): 3.876 3.876 9.736
angles (deg): 78.52 78.52 60.00
Fractional positions:
1 La 0.771 0.771 0.686
2 La 0.000 0.000 0.999
3 Y 0.226 0.226 0.321
4 Pt 0.502 0.502 0.494

## Properties
* DFT formation energy: -626.9 meV per atom

***

DFT (meta-GGA SCAN) results for Ho5Sn18Rh6 at its PBEsol-relaxed geometry.

a b c (Å): 9.723 9.723 9.723
angles (deg): 60.00 60.00 60.00
Fractional positions:
1 Sn 0.750 0.750 0.750
2 Sn 0.340 0.641 0.009
3 Sn 0.641 0.340 0.009
4 Sn 0.413 0.762 0.413
5 Sn 0.413 0.413 0.762
6 Sn 0.009 0.009 0.340
7 Sn 0.009 0.340 0.641
8 Sn 0.009 0.641 0.009
9 Sn 0.340 0.009 0.009
10 Sn 0.009 0.009 0.641
11 Sn 0.641 0.009 0.340
12 Sn 0.762 0.413 0.413
13 Sn 0.340 0.009 0.641
14 Sn 0.009 0.340 0.009
15 Sn 0.641 0.009 0.009
16 Sn 0.413 0.413 0.413
17 Sn 0.009 0.641 0.340
18 Sn 0.250 0.250 0.250
19 Ho 0.630 0.630 0.109
20 Ho 0.630 0.109 0.630
21 Ho 0.109 0.630 0.630
22 Ho 0.630 0.630 0.630
23 Ho 0.000 0.000 0.000
24 Rh 0.255 0.255 0.745
25 Rh 0.745 0.745 0.255
26 Rh 0.745 0.255 0.745
27 Rh 0.255 0.745 0.745
28 Rh 0.255 0.745 0.255
29 Rh 0.745 0.255 0.255

## Properties
* DFT formation energy: -596.9 meV per atom

***

no.,VASP energy (eV/atom)
1,-28.357
2,-12.701
3,-15.892
4,-24.503
5,-44.160
6,-31.120
7,-46.688
8,-38.326